{
  "formula": "KAs2Cl",
  "functional": "PBE",
  "state": "optimized geometry",
  "e_above_lowest_polymorph_mev_per_atom": 177,
  "raw_formation_energy_mev_per_atom": -524.7,
  "lattice_angstrom": [[-3.374, 0.714, 1.151], [0.188, -2.813, 2.295], [3.006, 4.906, 5.767]],
  "species": ["As", "As", "K", "Cl"],
  "fractional_positions": [[0.000, 0.000, 0.080], [0.500, 0.500, 0.181], [0.500, 0.500, 0.706], [0.000, 0.000, 0.533]]
}

***

{
  "formula": "Y4HoRh2",
  "functional": "PBE",
  "state": "optimized geometry",
  "e_form_ev_per_atom": -0.461,
  "lattice_angstrom": [[6.375, 0.000, 0.000], [0.000, 7.291, -3.011], [0.000, -0.046, 7.879]],
  "species": ["Y", "Y", "Y", "Y", "Y", "Y", "Y", "Y", "Ho", "Ho", "Rh", "Rh", "Rh", "Rh"],
  "fractional_positions": [[0.502, 0.412, 0.764], [0.250, 0.247, 0.335], [0.750, 0.753, 0.665], [0.998, 0.412, 0.764], [0.750, 0.017, 0.382], [0.002, 0.588, 0.236], [0.498, 0.588, 0.236], [0.250, 0.983, 0.618], [0.250, 0.841, 0.971], [0.750, 0.159, 0.029], [0.250, 0.250, 0.989], [0.750, 0.750, 0.011], [0.750, 0.374, 0.409], [0.250, 0.626, 0.591]]
}